Record 1
Here is a relaxed CsKTa2Si crystal from the Alexandria database. Energies are from PBEsol.

Calculated values
The calculated total energy comes out at -5.32 eV per atom. As for the density of states at the Fermi level: 1.2827 states/eV per atom.

Cell: 4.879 4.879 6.320 Å, 90.00 90.00 90.00°
Space group P4/mmm (No. 123)
Symmetry-distinct sites (fractional):
Cs 0.000 0.000 0.000 x1
K 0.500 0.500 0.000 x1
Ta 0.000 0.500 0.500 x2
Si 0.500 0.500 0.500 x1



Record 2
Here is a relaxed ZrAlBr2 crystal from the Alexandria database. Energies are from PBEsol.

Calculated values
As for the density of states at the Fermi level: 0.7009 states/eV per atom. The value obtained for the excess energy over the best structure of this formula in the dataset is 5 meV/atom.

Cell: 3.280 4.923 13.482 Å, 90.00 90.00 90.00°
Space group Immm (No. 71)
Symmetry-distinct sites (fractional):
Zr 0.000 0.000 0.000 x2
Al 0.000 0.000 0.500 x2
Br 0.000 0.500 0.338 x4



Record 3
Here is a relaxed NaCaTl3 crystal from the Alexandria database. Energies are from PBEsol.

Calculated values
As for the density of states at the Fermi level: 0.8156 states/eV per atom. The calculation puts the energy of formation from the pure elements at 0.3159 eV/atom.

Cell: 5.830 5.830 5.830 Å, 90.00 90.00 90.00°
Space group Pm-3m (No. 221)
Symmetry-distinct sites (fractional):
Na 0.000 0.000 0.000 x1
Ca 0.500 0.500 0.500 x1
Tl 0.000 0.500 0.500 x3



Record 4
Here is a relaxed Li7BiO6 crystal from the Alexandria database. Energies are from PBEsol.

Calculated values
As for the density of states at the Fermi level: 0.0000 states/eV per atom. The value obtained for the excess energy over the best structure of this formula in the dataset is 15 meV/atom.

Cell: 5.6289 5.6289 15.0865 Å, 90.00 90.00 120.00°
Space group R3 (No. 146, hexagonal axes)
Symmetry-distinct sites (fractional):
Li 0.0000 0.0000 0.0000 x3
Li 0.0537 0.3399 0.8683 x9
Li 0.0605 0.6774 0.1010 x9
Bi 0.0000 0.0000 0.6502 x3
O 0.0075 0.3818 0.4017 x9
O 0.0114 0.7092 0.5641 x9



Record 5
Here is a relaxed ZnCdSb crystal from the Alexandria database. Energies are from PBEsol.

Calculated values
The calculated total energy comes out at -2.36 eV per atom. As for the density of states at the Fermi level: 0.4938 states/eV per atom.

Cell: 6.496 6.496 6.496 Å, 90.00 90.00 90.00°
Space group F-43m (No. 216)
Symmetry-distinct sites (fractional):
Zn 0.000 0.000 0.000 x4
Cd 0.250 0.250 0.250 x4
Sb 0.250 0.250 0.750 x4



Record 6
Here is a relaxed GeMoBr2 crystal from the Alexandria database. Energies are from PBEsol.

Calculated values
The calculated total energy comes out at -4.64 eV per atom. As for the density of states at the Fermi level: 0.5783 states/eV per atom.

Cell: 3.1363 3.1363 28.8857 Å, 90.00 90.00 120.00°
Space group R-3m (No. 166, hexagonal axes)
Symmetry-distinct sites (fractional):
Ge 0.0000 0.0000 0.0000 x3
Mo 0.0000 0.0000 0.5000 x3
Br 0.0000 0.0000 0.4168 x6